Record 1
Below is a geometry-optimized AcHgSe2 structure, with properties calculated at the GGA-PBE level.

Results
- SG = P4/mmm, No. 123
- total energy (eV per atom) = -3.957
- raw formation energy (eV/atom) = -1.11
- Fermi-level density of states (states/eV/f.u.) = 1.7

Lattice parameters (Å, degrees): 3.961 5.148 5.148 90.00 90.00 90.00
Atoms (fractional coordinates):
1 Ac 0.500 0.500 0.500
2 Hg 0.500 0.000 0.000
3 Se 0.000 0.000 0.500
4 Se 0.000 0.500 0.000



Record 2
Below is a geometry-optimized Pm3Y3ScS8 structure, with properties calculated at the GGA-PBE level.

Results
- SG = R-3m, No. 166
- total energy (eV per atom) = -6.907
- raw formation energy (eV/atom) = -2.04
- Fermi-level density of states (states/eV/f.u.) = 7.2

Lattice parameters (Å, degrees): 7.865 7.865 7.924 119.75 90.00 120.00
Atoms (fractional coordinates):
1 Pm 0.000 0.000 0.000
2 Pm 0.000 0.500 0.000
3 Pm 0.500 0.500 0.000
4 Y 0.500 0.000 0.500
5 Y 0.500 0.500 0.500
6 Y 0.000 0.500 0.500
7 Sc 0.000 0.000 0.500
8 S 0.254 0.507 0.261
9 S 0.746 0.493 0.739
10 S 0.760 0.521 0.267
11 S 0.240 0.479 0.733
12 S 0.760 0.007 0.267
13 S 0.240 0.993 0.733
14 S 0.246 0.007 0.267
15 S 0.754 0.993 0.733



Record 3
Below is a geometry-optimized H2RuW structure, with properties calculated at the GGA-PBE level.

Results
- SG = R-3m, No. 166
- total energy (eV per atom) = -6.968
- Fermi-level density of states (states/eV/f.u.) = 2.6

Lattice parameters (Å, degrees): 2.918 2.918 5.216 73.76 73.76 60.00
Atoms (fractional coordinates):
1 Ru 0.500 0.500 0.500
2 W 0.000 0.000 0.000
3 H 0.124 0.124 0.627
4 H 0.876 0.876 0.373



Record 4
Below is a geometry-optimized Ta2TiPd structure, with properties calculated at the GGA-PBE level.

Results
- SG = Fm-3m, No. 225
- total energy (eV per atom) = -9.186
- Fermi-level density of states (states/eV/f.u.) = 3.9
- ΔE_f (meV per atom) = 13

Lattice parameters (Å, degrees): 4.567 4.567 4.567 60.00 60.00 60.00
Atoms (fractional coordinates):
1 Ti 0.000 0.000 0.000
2 Pd 0.500 0.500 0.500
3 Ta 0.250 0.250 0.250
4 Ta 0.750 0.750 0.750



Record 5
Below is a geometry-optimized Ac4RuPb structure, with properties calculated at the GGA-PBE level.

Results
- SG = P2_1/m, No. 11
- total energy (eV per atom) = -5.193
- Fermi-level density of states (states/eV/f.u.) = 5.3
- ΔE_f (meV per atom) = -290

Lattice parameters (Å, degrees): 7.467 6.779 8.794 94.30 90.00 90.00
Atoms (fractional coordinates):
1 Ac 0.750 0.592 0.582
2 Ac 0.250 0.408 0.418
3 Ac 0.750 0.345 0.127
4 Ac 0.250 0.655 0.873
5 Ac 0.996 0.099 0.714
6 Ac 0.496 0.901 0.286
7 Ac 0.504 0.099 0.714
8 Ac 0.004 0.901 0.286
9 Ru 0.750 0.184 0.436
10 Ru 0.250 0.816 0.564
11 Pb 0.750 0.796 0.951
12 Pb 0.250 0.204 0.049



Q: Which formula does entry 5 have?
A: Ac4RuPb



Copy entry 3 word for word.
Below is a geometry-optimized H2RuW structure, with properties calculated at the GGA-PBE level.

Results
- SG = R-3m, No. 166
- total energy (eV per atom) = -6.968
- Fermi-level density of states (states/eV/f.u.) = 2.6

Lattice parameters (Å, degrees): 2.918 2.918 5.216 73.76 73.76 60.00
Atoms (fractional coordinates):
1 Ru 0.500 0.500 0.500
2 W 0.000 0.000 0.000
3 H 0.124 0.124 0.627
4 H 0.876 0.876 0.373